The following is a PBE calculation of a geometry-optimized Ho2Tm2Th3 structure, from the Alexandria database.

Computed properties:
The formation energy is 0.22 eV per atom. The total moment comes out at 0.0 Bohr magnetons per cell. The total energy is -77.60 eV per cell. As for the space-group type: P2_1/c.

Lattice parameters (Å, degrees): 7.478 6.297 11.746 90.00 53.53 90.00
Atoms (fractional coordinates):
Ho1 0.106 0.336 0.180
Ho2 0.106 0.164 0.680
Ho3 0.894 0.836 0.320
Ho4 0.894 0.664 0.820
Tm1 0.390 0.727 0.538
Tm2 0.610 0.227 0.962
Tm3 0.390 0.773 0.038
Tm4 0.610 0.273 0.462
Th1 0.000 0.500 0.500
Th2 0.000 0.000 0.000
Th3 0.335 0.028 0.328
Th4 0.665 0.528 0.172
Th5 0.335 0.472 0.828
Th6 0.665 0.972 0.672